1.
Here is a relaxed ScTl2Ag2 crystal from the Alexandria database. Energies are from GGA-PBEsol.

Summary:
- Fermi-level density of states: 0.68 states/eV/atom
- Formation energy from the elements: 0.35 eV per formula unit

Cell: 3.8318 3.8318 15.0510 Å, 90.00 90.00 90.00°
Closest atoms and distances in Å follow each position.
Space group I4/mmm (No. 139)
Asymmetric unit:
Sc 0.0000 0.0000 0.0000  8 Tl 3.13
Tl 0.0000 0.0000 0.3960  4 Ag 2.92, 4 Sc 3.13, 1 Tl 3.13
Ag 0.0000 0.5000 0.2500  4 Ag 2.71, 4 Tl 2.92



2.
Here is a relaxed Nb2Al crystal from the Alexandria database. Energies are from GGA-PBEsol.

Summary:
- Fermi-level density of states: 0.69 states/eV/atom
- Formation energy from the elements: -0.87 eV per formula unit

Cell: 9.9038 9.9038 5.1451 Å, 90.00 90.00 90.00°
Closest atoms and distances in Å follow each position.
Space group P4_2/mnm (No. 136)
Asymmetric unit:
Nb 0.0348 0.3723 0.0000  2 Nb 2.62-2.75, 4 Al 2.77-2.81
Nb 0.1038 0.1038 0.0000  3 Nb 2.75-2.91, 6 Al 2.95-3.03
Nb 0.1816 0.8184 0.2475  2 Nb 2.55-2.60
Al 0.0000 0.0000 0.5000  4 Al 2.67, 8 Nb 2.86-2.95
Al 0.0667 0.2617 0.5000  2 Al 2.67-2.73, 8 Nb 2.77-2.89



3.
Here is a relaxed HoGeRu crystal from the Alexandria database. Energies are from GGA-PBEsol.

Summary:
- Fermi-level density of states: 0.83 states/eV/atom
- Formation energy from the elements: -2.23 eV per formula unit

Cell: 6.9105 4.3679 7.1146 Å, 90.00 90.00 90.00°
Closest atoms and distances in Å follow each position.
Space group Pnma (No. 62)
Asymmetric unit:
Ho 0.0152 0.2500 0.1911  4 Ru 2.90-2.96, 6 Ge 2.99-3.23
Ge 0.2032 0.2500 0.6073  4 Ru 2.50-2.54
Ru 0.1554 0.7500 0.4371  4 Ge 2.50-2.54



4.
Here is a relaxed La2SbCl2 crystal from the Alexandria database. Energies are from GGA-PBEsol.

Summary:
- Fermi-level density of states: 0.46 states/eV/atom
- Raw formation energy: -1.676 eV per atom

Cell: 4.2957 4.2957 14.6056 Å, 90.00 90.00 90.00°
Closest atoms and distances in Å follow each position.
Space group I4/mmm (No. 139)
Asymmetric unit:
La 0.0000 0.0000 0.1171  4 Cl 2.89
Sb 0.0000 0.0000 0.5000  8 La 3.49
Cl 0.0000 0.5000 0.2500  4 La 2.89, 4 Cl 3.04



5.
Here is a relaxed Mn3CdTe crystal from the Alexandria database. Energies are from GGA-PBEsol.

Summary:
- Fermi-level density of states: 0.48 states/eV/atom
- Raw formation energy: 1.219 eV per atom

Cell: 4.9173 4.9173 4.9173 Å, 90.00 90.00 90.00°
Closest atoms and distances in Å follow each position.
Space group Pm-3m (No. 221)
Asymmetric unit:
Mn 0.0000 0.0000 0.5000  2 Cd 2.46
Cd 0.0000 0.0000 0.0000  6 Mn 2.46
Te 0.5000 0.5000 0.5000  12 Mn 3.48



6.
Here is a relaxed Sr2AgAs crystal from the Alexandria database. Energies are from GGA-PBEsol.

Summary:
- Formation energy from the elements: -0.90 eV per formula unit

Cell: 6.5422 6.5422 15.7818 Å, 90.00 90.00 90.00°
Closest atoms and distances in Å follow each position.
Space group I-42d (No. 122)
Asymmetric unit:
Sr 0.2200 0.2500 0.1250  2 As 2.94, 2 Ag 3.15
Ag 0.0000 0.0000 0.5000  4 Sr 3.15
As 0.0000 0.0000 0.0000  4 Sr 2.94



7.
Here is a relaxed Mg2NbHW crystal from the Alexandria database. Energies are from GGA-PBEsol.

Summary:
- Fermi-level density of states: 0.74 states/eV/atom
- Calculated total energy: -22.78 eV for the cell shown

Cell: 5.2974 5.2974 4.6538 Å, 90.00 90.00 90.00°
Closest atoms and distances in Å follow each position.
Space group P4/mmm (No. 123)
Asymmetric unit:
Mg 0.0000 0.5000 0.0000  2 W 2.65
Nb 0.0000 0.0000 0.5000  2 W 2.33
H 0.5000 0.5000 0.5000  8 Mg 3.53, 4 Nb 3.75
W 0.0000 0.0000 0.0000  2 Nb 2.33



8.
Here is a relaxed In2NiAg crystal from the Alexandria database. Energies are from GGA-PBEsol.

Summary:
- Fermi-level density of states: 0.27 states/eV/atom
- Formation energy from the elements: 0.09 eV per formula unit

Cell: 4.5658 4.5658 3.2897 Å, 90.00 90.00 90.00°
Closest atoms and distances in Å follow each position.
Space group P4/mmm (No. 123)
Asymmetric unit:
In 0.0000 0.5000 0.0000  4 Ag 2.81, 4 Ni 2.81
Ni 0.0000 0.0000 0.5000  8 In 2.81
Ag 0.5000 0.5000 0.5000  8 In 2.81



Repeat the sixth record exactly.
Here is a relaxed Sr2AgAs crystal from the Alexandria database. Energies are from GGA-PBEsol.

Summary:
- Formation energy from the elements: -0.90 eV per formula unit

Cell: 6.5422 6.5422 15.7818 Å, 90.00 90.00 90.00°
Closest atoms and distances in Å follow each position.
Space group I-42d (No. 122)
Asymmetric unit:
Sr 0.2200 0.2500 0.1250  2 As 2.94, 2 Ag 3.15
Ag 0.0000 0.0000 0.5000  4 Sr 3.15
As 0.0000 0.0000 0.0000  4 Sr 2.94